(1)
A plane-wave DFT calculation with GGA-PBEsol was carried out for an optimized crystal structure of TlAg2Pt.

Cell and atoms, written as POSCAR:
```
TlAg2Pt
1.0
2.805 -4.145 0.000
2.805 4.145 0.000
0.000 0.000 3.038
Tl Ag Pt
1 2 1
direct
0.000 0.000 0.000
0.000 0.500 0.500
0.500 0.000 0.500
0.500 0.500 0.000
```

Calculated values
Size of the total moment (μB/atom): 0.000
Theoretical density (g/cm3): 14.457


(2)
A plane-wave DFT calculation with GGA-PBEsol was carried out for an optimized crystal structure of TlAg2Pt.

Cell and atoms, written as POSCAR:
```
TlAg2Pt
1.0
4.022 0.000 0.000
0.000 4.022 0.000
0.000 0.000 4.312
Tl Ag Pt
1 2 1
direct
0.000 0.000 0.000
0.000 0.500 0.500
0.500 0.000 0.500
0.500 0.500 0.000
```

Calculated values
Size of the total moment (μB/atom): 0.000
Theoretical density (g/cm3): 14.647


Least stable = (1)


(1)
A plane-wave DFT calculation with GGA-PBEsol was carried out for an optimized crystal structure of YAg2Pt.

Cell and atoms, written as POSCAR:
```
YAg2Pt
1.0
-2.007 2.007 4.499
2.007 -2.007 4.499
2.007 2.007 -4.499
Y Ag Pt
1 2 1
direct
0.000 0.000 0.000
0.250 0.750 0.500
0.750 0.250 0.500
0.500 0.500 0.000
```

Calculated values
Size of the total moment (μB/atom): 0.000
Theoretical density (g/cm3): 11.445


(2)
A plane-wave DFT calculation with GGA-PBEsol was carried out for an optimized crystal structure of YAg2Pt.

Cell and atoms, written as POSCAR:
```
YAg2Pt
1.0
1.473 0.850 9.690
-1.473 0.850 9.690
0.000 -1.701 9.690
Y Ag Pt
1 2 1
direct
0.000 0.000 0.000
0.244 0.244 0.244
0.756 0.756 0.756
0.500 0.500 0.500
```

Calculated values
Size of the total moment (μB/atom): 0.000
Theoretical density (g/cm3): 11.393


Least stable = (2)


(1)
A plane-wave DFT calculation with GGA-PBEsol was carried out for an optimized crystal structure of Re2AgRu.

Cell and atoms, written as POSCAR:
```
Re2AgRu
1.0
3.819 0.000 0.000
0.000 3.819 0.000
0.000 0.000 3.973
Re Ag Ru
2 1 1
direct
0.000 0.500 0.000
0.500 0.000 0.000
0.000 0.000 0.500
0.500 0.500 0.500
```

Calculated values
Size of the total moment (μB/atom): 0.000
Theoretical density (g/cm3): 16.660


(2)
A plane-wave DFT calculation with GGA-PBEsol was carried out for an optimized crystal structure of Re2AgRu.

Cell and atoms, written as POSCAR:
```
Re2AgRu
1.0
1.357 0.783 9.215
-1.357 0.783 9.215
0.000 -1.566 9.215
Re Ag Ru
2 1 1
direct
0.245 0.245 0.245
0.755 0.755 0.755
0.000 0.000 0.000
0.500 0.500 0.500
```

Calculated values
Size of the total moment (μB/atom): 0.000
Theoretical density (g/cm3): 16.433


(3)
A plane-wave DFT calculation with GGA-PBEsol was carried out for an optimized crystal structure of Re2AgRu.

Cell and atoms, written as POSCAR:
```
Re2AgRu
1.0
0.000 3.089 3.089
3.089 0.000 3.089
3.089 3.089 0.000
Re Ag Ru
2 1 1
direct
0.000 0.000 0.000
0.250 0.250 0.250
0.500 0.500 0.500
0.750 0.750 0.750
```

Calculated values
Size of the total moment (μB/atom): 0.000
Theoretical density (g/cm3): 16.380


Least stable = (3)


(1)
A plane-wave DFT calculation with GGA-PBEsol was carried out for an optimized crystal structure of ReSi2Ag.

Cell and atoms, written as POSCAR:
```
ReSi2Ag
1.0
-1.984 1.984 3.566
1.984 -1.984 3.566
1.984 1.984 -3.566
Re Si Ag
1 2 1
direct
0.000 0.000 0.000
0.250 0.750 0.500
0.750 0.250 0.500
0.500 0.500 0.000
```

Calculated values
Size of the total moment (μB/atom): 0.000
Theoretical density (g/cm3): 10.358


(2)
A plane-wave DFT calculation with GGA-PBEsol was carried out for an optimized crystal structure of ReSi2Ag.

Cell and atoms, written as POSCAR:
```
ReSi2Ag
1.0
2.867 -4.126 0.000
2.867 4.126 0.000
-1.296 0.000 2.506
Re Si Ag
1 2 1
direct
0.000 0.000 0.000
0.000 0.500 0.000
0.500 0.000 0.000
0.500 0.500 0.000
```

Calculated values
Size of the total moment (μB/atom): 0.000
Theoretical density (g/cm3): 9.808


(3)
A plane-wave DFT calculation with GGA-PBEsol was carried out for an optimized crystal structure of ReSi2Ag.

Cell and atoms, written as POSCAR:
```
ReSi2Ag
1.0
0.000 3.086 3.086
3.086 0.000 3.086
3.086 3.086 0.000
Re Si Ag
1 2 1
direct
0.000 0.000 0.000
0.250 0.250 0.250
0.500 0.500 0.500
0.750 0.750 0.750
```

Calculated values
Size of the total moment (μB/atom): 0.000
Theoretical density (g/cm3): 9.897


Least stable = (3)


(1)
A plane-wave DFT calculation with GGA-PBEsol was carried out for an optimized crystal structure of Sr2ReAg.

Cell and atoms, written as POSCAR:
```
Sr2ReAg
1.0
3.564 0.000 0.000
0.000 3.564 0.000
0.000 0.000 8.759
Sr Re Ag
2 1 1
direct
0.000 0.000 0.000
0.500 0.500 0.415
0.500 0.500 0.760
0.000 0.000 0.648
```

Calculated values
Size of the total moment (μB/atom): 0.179
Theoretical density (g/cm3): 7.004


(2)
A plane-wave DFT calculation with GGA-PBEsol was carried out for an optimized crystal structure of Sr2ReAg.

Cell and atoms, written as POSCAR:
```
Sr2ReAg
1.0
3.024 0.000 0.000
0.000 3.689 0.000
0.000 0.000 8.679
Sr Re Ag
2 1 1
direct
0.000 0.000 0.235
0.000 0.000 0.765
0.500 0.500 0.000
0.500 0.500 0.500
```

Calculated values
Size of the total moment (μB/atom): 0.000
Theoretical density (g/cm3): 8.049


Least stable = (1)


(1)
A plane-wave DFT calculation with GGA-PBEsol was carried out for an optimized crystal structure of SrRe2Ag.

Cell and atoms, written as POSCAR:
```
SrRe2Ag
1.0
0.000 3.295 3.295
3.295 0.000 3.295
3.295 3.295 0.000
Sr Re Ag
1 2 1
direct
0.000 0.000 0.000
0.250 0.250 0.250
0.500 0.500 0.500
0.750 0.750 0.750
```

Calculated values
Size of the total moment (μB/atom): 0.000
Theoretical density (g/cm3): 13.179


(2)
A plane-wave DFT calculation with GGA-PBEsol was carried out for an optimized crystal structure of SrRe2Ag.

Cell and atoms, written as POSCAR:
```
SrRe2Ag
1.0
2.739 -5.165 0.000
2.739 5.165 0.000
-0.945 0.000 2.533
Sr Re Ag
1 2 1
direct
0.000 0.000 0.000
0.000 0.500 0.500
0.500 0.000 0.500
0.500 0.500 0.000
```

Calculated values
Size of the total moment (μB/atom): 0.000
Theoretical density (g/cm3): 13.157


Least stable = (1)